# 1
Here is a geometry-optimized NpCdPd2 structure from Alexandria. Energies are from PBE.

Lattice parameters (Å, degrees): 2.9981 5.0900 5.0900 90.00 90.00 90.00
Each line ends with the local moment (μB).
Element x y z (fractional)
Pd1 0.0000 0.0000 0.5000  0.01
Pd2 0.0000 0.5000 0.0000  0.01
Np1 0.5000 0.0000 0.0000  4.05
Cd1 0.5000 0.5000 0.5000  -0.01

# 2
Here is a geometry-optimized Np4CdPd12 structure from Alexandria. Energies are from PBE.

Lattice parameters (Å, degrees): 7.4470 7.4470 7.4471 109.47 109.47 109.47
Each line ends with the local moment (μB).
Element x y z (fractional)
Pd1 0.0000 0.3028 0.3028  -0.02
Pd2 0.6972 0.6972 0.0000  -0.02
Pd3 0.7500 0.2500 0.5000  -0.03
Pd4 0.2500 0.5000 0.7500  -0.03
Pd5 0.5000 0.2500 0.7500  -0.03
Pd6 0.2500 0.7500 0.5000  -0.03
Pd7 0.7500 0.5000 0.2500  -0.03
Pd8 0.0000 0.6972 0.6972  -0.02
Pd9 0.5000 0.7500 0.2500  -0.03
Pd10 0.3028 0.0000 0.3028  -0.02
Pd11 0.3028 0.3028 0.0000  -0.02
Pd12 0.6972 0.0000 0.6972  -0.02
Cd1 0.0000 0.0000 0.0000  0.01
Np1 0.0000 0.0000 0.5000  3.72
Np2 0.5000 0.0000 0.0000  3.72
Np3 0.5000 0.5000 0.5000  3.72
Np4 0.0000 0.5000 0.0000  3.72

Number 1: formation energy from the elements -0.2102 eV/atom. Number 2: formation energy from the elements -0.3344 eV/atom.